No. 1
# LaSi2Ni4 | the Alexandria database | PBE-GGA | relaxed
# Total moment   0.000 μB per atom
# Formation energy (no corrections)   -0.50 eV per atom
# DFT total energy   -6.06 eV per atom
data_LaSi2Ni4
_chemical_formula_sum 'La4 Si8 Ni16'
_space_group_name_H-M_alt 'P 1'
_space_group_IT_number 1
_space_group_name_Hall 'P 1'
_cell_length_a 16.969
_cell_length_b 3.913
_cell_length_c 6.347
_cell_angle_alpha 90.00
_cell_angle_beta 90.00
_cell_angle_gamma 90.00
loop_
_atom_site_label
_atom_site_type_symbol
_atom_site_fract_x
_atom_site_fract_y
_atom_site_fract_z
La1 La 0.140 0.250 0.019
La2 La 0.360 0.750 0.519
La3 La 0.640 0.250 0.481
La4 La 0.860 0.750 0.981
Si1 Si 0.037 0.750 0.737
Si2 Si 0.204 0.250 0.473
Si3 Si 0.296 0.750 0.973
Si4 Si 0.463 0.250 0.237
Si5 Si 0.537 0.750 0.763
Si6 Si 0.704 0.250 0.027
Si7 Si 0.796 0.750 0.527
Si8 Si 0.963 0.250 0.263
Ni1 Ni 0.015 0.750 0.125
Ni2 Ni 0.061 0.250 0.525
Ni3 Ni 0.171 0.750 0.648
Ni4 Ni 0.228 0.750 0.283
Ni5 Ni 0.272 0.250 0.783
Ni6 Ni 0.329 0.250 0.148
Ni7 Ni 0.439 0.750 0.025
Ni8 Ni 0.485 0.250 0.625
Ni9 Ni 0.515 0.750 0.375
Ni10 Ni 0.561 0.250 0.975
Ni11 Ni 0.671 0.750 0.852
Ni12 Ni 0.728 0.750 0.217
Ni13 Ni 0.772 0.250 0.717
Ni14 Ni 0.829 0.250 0.352
Ni15 Ni 0.939 0.750 0.475
Ni16 Ni 0.985 0.250 0.875

---

No. 2
# LaSi2Ni | the Alexandria database | PBE-GGA | relaxed
# Total moment   0.000 μB per atom
# Formation energy (no corrections)   -0.66 eV per atom
# DFT total energy   -6.05 eV per atom
data_LaSi2Ni
_chemical_formula_sum 'La1 Si2 Ni1'
_space_group_name_H-M_alt 'P 1'
_space_group_IT_number 1
_space_group_name_Hall 'P 1'
_cell_length_a 6.131
_cell_length_b 6.131
_cell_length_c 6.131
_cell_angle_alpha 37.17
_cell_angle_beta 37.17
_cell_angle_gamma 37.17
loop_
_atom_site_label
_atom_site_type_symbol
_atom_site_fract_x
_atom_site_fract_y
_atom_site_fract_z
La1 La 0.000 0.000 0.000
Si1 Si 0.198 0.198 0.198
Si2 Si 0.453 0.453 0.453
Ni1 Ni 0.815 0.815 0.815

---

No. 3
# LaSi2Ni2 | the Alexandria database | PBE-GGA | relaxed
# Total moment   0.000 μB per atom
# Formation energy (no corrections)   -0.78 eV per atom
# DFT total energy   -6.25 eV per atom
data_LaSi2Ni2
_chemical_formula_sum 'La1 Si2 Ni2'
_space_group_name_H-M_alt 'P 1'
_space_group_IT_number 1
_space_group_name_Hall 'P 1'
_cell_length_a 5.643
_cell_length_b 5.643
_cell_length_c 5.643
_cell_angle_alpha 137.17
_cell_angle_beta 137.17
_cell_angle_gamma 62.18
loop_
_atom_site_label
_atom_site_type_symbol
_atom_site_fract_x
_atom_site_fract_y
_atom_site_fract_z
La1 La 0.000 0.000 0.000
Si1 Si 0.367 0.367 0.000
Si2 Si 0.633 0.633 0.000
Ni1 Ni 0.250 0.750 0.500
Ni2 Ni 0.750 0.250 0.500

---

No. 4
# La3Si2Ni4 | the Alexandria database | PBE-GGA | relaxed
# Total moment   0.000 μB per atom
# Formation energy (no corrections)   -0.60 eV per atom
# DFT total energy   -6.01 eV per atom
data_La3Si2Ni4
_chemical_formula_sum 'La3 Si2 Ni4'
_space_group_name_H-M_alt 'P 1'
_space_group_IT_number 1
_space_group_name_Hall 'P 1'
_cell_length_a 5.989
_cell_length_b 5.989
_cell_length_c 8.402
_cell_angle_alpha 110.96
_cell_angle_beta 110.96
_cell_angle_gamma 39.71
loop_
_atom_site_label
_atom_site_type_symbol
_atom_site_fract_x
_atom_site_fract_y
_atom_site_fract_z
La1 La 0.000 0.000 0.000
La2 La 0.373 0.373 0.306
La3 La 0.627 0.627 0.694
Si1 Si 0.347 0.347 0.697
Si2 Si 0.653 0.653 0.303
Ni1 Ni 0.166 0.166 0.439
Ni2 Ni 0.280 0.280 0.934
Ni3 Ni 0.720 0.720 0.066
Ni4 Ni 0.834 0.834 0.561

---

No. 5
# LaSiNi3 | the Alexandria database | PBE-GGA | relaxed
# Total moment   0.000 μB per atom
# Formation energy (no corrections)   1.37 eV per atom
# DFT total energy   -4.17 eV per atom
data_LaSiNi3
_chemical_formula_sum 'La1 Si1 Ni3'
_space_group_name_H-M_alt 'P 1'
_space_group_IT_number 1
_space_group_name_Hall 'P 1'
_cell_length_a 4.694
_cell_length_b 4.694
_cell_length_c 4.694
_cell_angle_alpha 90.00
_cell_angle_beta 90.00
_cell_angle_gamma 90.00
loop_
_atom_site_label
_atom_site_type_symbol
_atom_site_fract_x
_atom_site_fract_y
_atom_site_fract_z
La1 La 0.000 0.000 0.000
Si1 Si 0.500 0.500 0.500
Ni1 Ni 0.000 0.000 0.500
Ni2 Ni 0.000 0.500 0.000
Ni3 Ni 0.500 0.000 0.000

---

No. 6
# LaSi4Ni6 | the Alexandria database | PBE-GGA | relaxed
# Total moment   0.000 μB per atom
# Formation energy (no corrections)   -0.64 eV per atom
# DFT total energy   -6.21 eV per atom
data_LaSi4Ni6
_chemical_formula_sum 'La1 Si4 Ni6'
_space_group_name_H-M_alt 'P 1'
_space_group_IT_number 1
_space_group_name_Hall 'P 1'
_cell_length_a 6.674
_cell_length_b 6.674
_cell_length_c 3.788
_cell_angle_alpha 90.00
_cell_angle_beta 90.00
_cell_angle_gamma 120.00
loop_
_atom_site_label
_atom_site_type_symbol
_atom_site_fract_x
_atom_site_fract_y
_atom_site_fract_z
La1 La 0.000 0.000 0.000
Si1 Si 0.333 0.667 0.000
Si2 Si 0.402 0.201 0.500
Si3 Si 0.799 0.201 0.500
Si4 Si 0.799 0.598 0.500
Ni1 Ni 0.206 0.412 0.500
Ni2 Ni 0.206 0.794 0.500
Ni3 Ni 0.535 0.071 0.000
Ni4 Ni 0.535 0.465 0.000
Ni5 Ni 0.588 0.794 0.500
Ni6 Ni 0.929 0.465 0.000

---

No. 7
# La3SiNi3 | the Alexandria database | PBE-GGA | relaxed
# Total moment   0.000 μB per atom
# Formation energy (no corrections)   -0.48 eV per atom
# DFT total energy   -5.84 eV per atom
data_La3SiNi3
_chemical_formula_sum 'La6 Si2 Ni6'
_space_group_name_H-M_alt 'P 1'
_space_group_IT_number 1
_space_group_name_Hall 'P 1'
_cell_length_a 5.960
_cell_length_b 5.960
_cell_length_c 14.589
_cell_angle_alpha 108.88
_cell_angle_beta 108.88
_cell_angle_gamma 39.35
loop_
_atom_site_label
_atom_site_type_symbol
_atom_site_fract_x
_atom_site_fract_y
_atom_site_fract_z
La1 La 0.026 0.026 0.386
La2 La 0.097 0.097 0.922
La3 La 0.241 0.241 0.226
La4 La 0.759 0.759 0.774
La5 La 0.903 0.903 0.078
La6 La 0.974 0.974 0.614
Si1 Si 0.254 0.254 0.612
Si2 Si 0.746 0.746 0.388
Ni1 Ni 0.303 0.303 0.467
Ni2 Ni 0.396 0.396 0.926
Ni3 Ni 0.447 0.447 0.761
Ni4 Ni 0.553 0.553 0.239
Ni5 Ni 0.604 0.604 0.074
Ni6 Ni 0.697 0.697 0.533

---

No. 8
# La8Si2Ni | the Alexandria database | PBE-GGA | relaxed
# Total moment   0.000 μB per atom
# Formation energy (no corrections)   -0.26 eV per atom
# DFT total energy   -5.35 eV per atom
data_La8Si2Ni
_chemical_formula_sum 'La8 Si2 Ni1'
_space_group_name_H-M_alt 'P 1'
_space_group_IT_number 1
_space_group_name_Hall 'P 1'
_cell_length_a 9.507
_cell_length_b 9.507
_cell_length_c 5.171
_cell_angle_alpha 105.64
_cell_angle_beta 105.64
_cell_angle_gamma 123.92
loop_
_atom_site_label
_atom_site_type_symbol
_atom_site_fract_x
_atom_site_fract_y
_atom_site_fract_z
La1 La 0.000 0.000 0.000
La2 La 0.059 0.311 0.655
La3 La 0.092 0.687 0.851
La4 La 0.311 0.059 0.655
La5 La 0.510 0.510 0.466
La6 La 0.513 0.788 0.114
La7 La 0.687 0.092 0.851
La8 La 0.788 0.513 0.114
Si1 Si 0.226 0.609 0.381
Si2 Si 0.609 0.226 0.381
Ni1 Ni 0.897 0.897 0.403